# 1
First-principles (PBE) data for a relaxed Sr2Pb2I crystal, as listed in Alexandria.

The energy comes out at -3.15 eV per atom. The value obtained for the relative energy among the computed polymorphs is 0 meV per atom. The value obtained for the uncorrected formation energy is -3.439 eV per formula unit.

a b c (Å): 9.1015 9.1015 4.8068
angles (deg): 90.00 90.00 90.00
Closest atoms and distances in Å follow each position.
Fractional positions:
1 Sr 0.1793 0.3207 0.0000  2 I 3.34, 6 Pb 3.60-3.63
2 Sr 0.3207 0.8207 0.0000  2 I 3.34, 6 Pb 3.60-3.63
3 Sr 0.6793 0.1793 0.0000  2 I 3.34, 6 Pb 3.60-3.63
4 Sr 0.8207 0.6793 0.0000  2 I 3.34, 6 Pb 3.60-3.63
5 Pb 0.1123 0.6123 0.5000  1 Pb 2.89
6 Pb 0.3877 0.1123 0.5000  1 Pb 2.89
7 Pb 0.6123 0.8877 0.5000  1 Pb 2.89
8 Pb 0.8877 0.3877 0.5000  1 Pb 2.89
9 I 0.0000 0.0000 0.0000  4 Sr 3.34
10 I 0.5000 0.5000 0.0000  4 Sr 3.34



# 2
First-principles (PBE) data for a relaxed Sr2PbI crystal, as listed in Alexandria.

The energy comes out at -2.81 eV per atom. The value obtained for the relative energy among the computed polymorphs is 249 meV per atom. The value obtained for the uncorrected formation energy is -2.618 eV per formula unit.

a b c (Å): 7.7052 7.7052 7.7052
angles (deg): 110.17 110.17 108.07
Closest atoms and distances in Å follow each position.
Fractional positions:
1 Sr 0.1223 0.6250 0.9973  2 Pb 3.30, 2 I 3.33
2 Sr 0.3750 0.3723 0.4973  2 Pb 3.30, 2 I 3.33
3 Sr 0.6277 0.1250 0.0027  2 Pb 3.30, 2 I 3.33
4 Sr 0.8750 0.8777 0.5027  2 Pb 3.30, 2 I 3.33
5 Pb 0.0000 0.0000 0.0000  4 Sr 3.30
6 Pb 0.7500 0.2500 0.5000  4 Sr 3.30
7 I 0.2500 0.7500 0.5000  4 Sr 3.33
8 I 0.5000 0.5000 0.0000  4 Sr 3.33



# 3
First-principles (PBE) data for a relaxed Sr3PbI8 crystal, as listed in Alexandria.

The energy comes out at -3.20 eV per atom. The value obtained for the uncorrected formation energy is -17.191 eV per formula unit.

a b c (Å): 9.6881 9.6881 14.7790
angles (deg): 90.00 90.00 120.00
Closest atoms and distances in Å follow each position.
Fractional positions:
1 Sr 0.1677 0.3355 0.0000  6 I 3.30-3.33
2 Sr 0.1677 0.8323 0.0000  6 I 3.30-3.33
3 Sr 0.3355 0.1677 0.5000  6 I 3.30-3.33
4 Sr 0.6645 0.8323 0.0000  6 I 3.30-3.33
5 Sr 0.8323 0.1677 0.5000  6 I 3.30-3.33
6 Sr 0.8323 0.6645 0.5000  6 I 3.30-3.33
7 Pb 0.3333 0.6667 0.2632  6 I 3.23-3.32
8 Pb 0.6667 0.3333 0.7632  6 I 3.23-3.32
9 I 0.0000 0.0000 0.1177  3 Sr 3.31
10 I 0.0000 0.0000 0.6177  3 Sr 3.31
11 I 0.0250 0.5125 0.1328  1 Pb 3.23, 2 Sr 3.33
12 I 0.1647 0.3295 0.3805  2 Sr 3.30, 1 Pb 3.32
13 I 0.1647 0.8353 0.3805  2 Sr 3.30, 1 Pb 3.32
14 I 0.3295 0.1647 0.8805  2 Sr 3.30, 1 Pb 3.32
15 I 0.3333 0.6667 0.8783  3 Sr 3.31
16 I 0.4875 0.5125 0.1328  1 Pb 3.23, 2 Sr 3.33
17 I 0.4875 0.9750 0.1328  1 Pb 3.23, 2 Sr 3.33
18 I 0.5125 0.0250 0.6328  1 Pb 3.23, 2 Sr 3.33
19 I 0.5125 0.4875 0.6328  1 Pb 3.23, 2 Sr 3.33
20 I 0.6667 0.3333 0.3783  3 Sr 3.31
21 I 0.6705 0.8353 0.3805  2 Sr 3.30, 1 Pb 3.32
22 I 0.8353 0.1647 0.8805  2 Sr 3.30, 1 Pb 3.32
23 I 0.8353 0.6705 0.8805  2 Sr 3.30, 1 Pb 3.32
24 I 0.9750 0.4875 0.6328  1 Pb 3.23, 2 Sr 3.33



# 4
First-principles (PBE) data for a relaxed SrPb3I8 crystal, as listed in Alexandria.

The energy comes out at -3.02 eV per atom. The value obtained for the uncorrected formation energy is -10.980 eV per formula unit.

a b c (Å): 9.2479 9.2479 9.3112
angles (deg): 118.96 118.96 61.33
Closest atoms and distances in Å follow each position.
Fractional positions:
1 Sr 0.0000 0.0000 0.0000  6 I 3.30
2 Pb 0.0000 0.5000 0.5000  6 I 3.27-3.29
3 Pb 0.5000 0.0000 0.5000  6 I 3.27-3.29
4 Pb 0.5000 0.5000 0.0000  6 I 3.27-3.29
5 I 0.2503 0.2503 0.7459  3 Pb 3.29
6 I 0.2509 0.2509 0.2571  2 Pb 3.27, 1 Sr 3.30
7 I 0.2510 0.7465 0.7526  2 Pb 3.27, 1 Sr 3.30
8 I 0.2535 0.7490 0.2474  2 Pb 3.27, 1 Sr 3.30
9 I 0.7465 0.2510 0.7526  2 Pb 3.27, 1 Sr 3.30
10 I 0.7490 0.2535 0.2474  2 Pb 3.27, 1 Sr 3.30
11 I 0.7491 0.7491 0.7429  2 Pb 3.27, 1 Sr 3.30
12 I 0.7497 0.7497 0.2541  3 Pb 3.29



# 5
First-principles (PBE) data for a relaxed Sr2PbI crystal, as listed in Alexandria.

The energy comes out at -3.02 eV per atom. The value obtained for the relative energy among the computed polymorphs is 41 meV per atom. The value obtained for the uncorrected formation energy is -3.448 eV per formula unit.

a b c (Å): 9.3150 9.3150 9.3150
angles (deg): 28.79 28.79 28.79
Closest atoms and distances in Å follow each position.
Fractional positions:
1 Sr 0.0000 0.0000 0.0000  3 Pb 3.34, 3 I 3.69
2 Sr 0.1839 0.1839 0.1839  3 Pb 3.34, 3 I 3.58
3 Pb 0.5919 0.5919 0.5919  6 Sr 3.34
4 I 0.7617 0.7617 0.7617  6 Sr 3.58-3.69



# 6
First-principles (PBE) data for a relaxed Sr2TaPbI crystal, as listed in Alexandria.

The energy comes out at -3.14 eV per atom. The value obtained for the uncorrected formation energy is 4.791 eV per formula unit.

a b c (Å): 6.0600 6.0600 5.9411
angles (deg): 90.00 90.00 90.00
Closest atoms and distances in Å follow each position.
Fractional positions:
1 Sr 0.0000 0.5000 0.0000  2 I 3.03
2 Sr 0.5000 0.0000 0.0000  2 I 3.03
3 Ta 0.0000 0.0000 0.5000  8 Sr 4.24, 4 Pb 4.29
4 Pb 0.5000 0.5000 0.5000  2 I 2.97
5 I 0.5000 0.5000 0.0000  2 Pb 2.97, 4 Sr 3.03



# 7
First-principles (PBE) data for a relaxed SrTe2PbI crystal, as listed in Alexandria.

The energy comes out at -2.86 eV per atom. The value obtained for the relative energy among the computed polymorphs is 261 meV per atom. The value obtained for the uncorrected formation energy is -1.094 eV per formula unit.

a b c (Å): 6.1599 6.1599 6.1103
angles (deg): 90.00 90.00 90.00
Closest atoms and distances in Å follow each position.
Fractional positions:
1 Sr 0.0000 0.0000 0.0000  2 I 3.06, 4 Te 3.08
2 Te 0.0000 0.5000 0.0000  2 Sr 3.08
3 Te 0.5000 0.0000 0.0000  2 Sr 3.08
4 Pb 0.5000 0.5000 0.5000  8 Te 4.34, 4 I 4.36
5 I 0.0000 0.0000 0.5000  2 Sr 3.06



# 8
First-principles (PBE) data for a relaxed SrTe2PbI crystal, as listed in Alexandria.

The energy comes out at -3.12 eV per atom. The value obtained for the relative energy among the computed polymorphs is 0 meV per atom. The value obtained for the uncorrected formation energy is -2.401 eV per formula unit.

a b c (Å): 5.9588 5.9588 5.9813
angles (deg): 90.00 90.00 90.00
Closest atoms and distances in Å follow each position.
Fractional positions:
1 Sr 0.0000 0.0000 0.0000  4 I 4.21, 8 Te 4.22
2 Te 0.0000 0.5000 0.5000  2 Pb 2.98
3 Te 0.5000 0.0000 0.5000  2 Pb 2.98
4 Pb 0.5000 0.5000 0.5000  4 Te 2.98, 2 I 2.99
5 I 0.5000 0.5000 0.0000  2 Pb 2.99



# 9
First-principles (PBE) data for a relaxed SrTl2PbI crystal, as listed in Alexandria.

The energy comes out at -2.33 eV per atom. The value obtained for the uncorrected formation energy is 0.025 eV per formula unit.

a b c (Å): 5.9946 5.9946 6.4048
angles (deg): 90.00 90.00 90.00
Closest atoms and distances in Å follow each position.
Fractional positions:
1 Sr 0.0000 0.0000 0.0000  4 I 4.24, 8 Tl 4.39
2 Tl 0.0000 0.5000 0.5000  2 Pb 3.00
3 Tl 0.5000 0.0000 0.5000  2 Pb 3.00
4 Pb 0.5000 0.5000 0.5000  4 Tl 3.00, 2 I 3.20
5 I 0.5000 0.5000 0.0000  2 Pb 3.20



# 10
First-principles (PBE) data for a relaxed Sr2TlPbI crystal, as listed in Alexandria.

The energy comes out at -2.29 eV per atom. The value obtained for the uncorrected formation energy is -0.476 eV per formula unit.

a b c (Å): 6.2313 6.2313 6.1041
angles (deg): 90.00 90.00 90.00
Closest atoms and distances in Å follow each position.
Fractional positions:
1 Sr 0.0000 0.5000 0.0000  2 I 3.12
2 Sr 0.5000 0.0000 0.0000  2 I 3.12
3 Tl 0.0000 0.0000 0.5000  8 Sr 4.36, 4 Pb 4.41
4 Pb 0.5000 0.5000 0.5000  2 I 3.05
5 I 0.5000 0.5000 0.0000  2 Pb 3.05, 4 Sr 3.12



# 11
First-principles (PBE) data for a relaxed SrTl2PbI6 crystal, as listed in Alexandria.

The energy comes out at -2.89 eV per atom. The value obtained for the uncorrected formation energy is -9.498 eV per formula unit.

a b c (Å): 8.9926 8.9926 8.9926
angles (deg): 57.39 57.39 57.39
Closest atoms and distances in Å follow each position.
Fractional positions:
1 Sr 0.0000 0.0000 0.0000  6 I 3.29-3.33
2 Tl 0.2996 0.2996 0.2996  6 I 3.54-3.55
3 Tl 0.7993 0.7993 0.7993  6 I 3.54-3.57
4 Pb 0.4994 0.4994 0.4994  6 I 3.25-3.28
5 I 0.1323 0.3692 0.7234  1 Pb 3.28, 1 Sr 3.29, 2 Tl 3.54
6 I 0.2285 0.8660 0.6290  1 Pb 3.25, 1 Sr 3.33, 2 Tl 3.55-3.57
7 I 0.3692 0.7234 0.1323  1 Pb 3.28, 1 Sr 3.29, 2 Tl 3.54
8 I 0.6290 0.2285 0.8660  1 Pb 3.25, 1 Sr 3.33, 2 Tl 3.55-3.57
9 I 0.7234 0.1323 0.3692  1 Pb 3.28, 1 Sr 3.29, 2 Tl 3.54
10 I 0.8660 0.6290 0.2285  1 Pb 3.25, 1 Sr 3.33, 2 Tl 3.55-3.57



# 12
First-principles (PBE) data for a relaxed SrY2PbI crystal, as listed in Alexandria.

The energy comes out at -3.93 eV per atom. The value obtained for the uncorrected formation energy is 0.197 eV per formula unit.

a b c (Å): 5.6580 5.6580 6.0017
angles (deg): 90.00 90.00 90.00
Closest atoms and distances in Å follow each position.
Fractional positions:
1 Sr 0.0000 0.0000 0.0000  2 I 3.00
2 Y 0.0000 0.5000 0.5000  2 I 2.83
3 Y 0.5000 0.0000 0.5000  2 I 2.83
4 Pb 0.5000 0.5000 0.0000  4 Sr 4.00, 8 Y 4.12
5 I 0.0000 0.0000 0.5000  4 Y 2.83, 2 Sr 3.00